The following is a PBEsol calculation of a relaxed structure of ErSeF, from Alexandria.

abc: 3.9886 9.8338 18.4920
angles: 90.00 90.00 90.00
With the nearest neighbours (Å) after each atom.
Atoms (fractional coordinates):
Er (0.7500, 0.4251, 0.5808)  6 F 2.23-2.37
Er (0.2500, 0.5905, 0.0836)  6 Se 2.79-2.82
Er (0.2500, 0.5749, 0.4192)  6 F 2.23-2.37
Er (0.7500, 0.7397, 0.2612)  3 F 2.22-2.24
Er (0.2500, 0.0905, 0.4164)  6 Se 2.79-2.82
Se (0.2500, 0.8345, 0.4856)  4 Er 2.79-2.83
Er (0.7500, 0.9095, 0.5836)  6 Se 2.79-2.82
Se (0.7500, 0.5010, 0.1787)  4 Er 2.80
Se (0.7500, 0.6655, 0.9856)  4 Er 2.79-2.83
F (0.7500, 0.8196, 0.8040)  3 Er 2.22-2.37, 2 F 2.39
Se (0.7500, 0.6658, 0.6606)  4 Er 2.79-2.88, 1 F 3.05
Se (0.2500, 0.9990, 0.6787)  4 Er 2.80
Er (0.7500, 0.4095, 0.9164)  6 Se 2.79-2.82
F (0.2500, 0.8479, 0.8731)  3 Er 2.24-2.30, 3 F 2.35-2.39
Er (0.2500, 0.7603, 0.7612)  3 F 2.22-2.24
Er (0.2500, 0.2603, 0.7388)  3 F 2.22-2.24
Se (0.2500, 0.4990, 0.8213)  4 Er 2.80
F (0.2500, 0.6804, 0.3040)  3 Er 2.22-2.37, 2 F 2.39
Se (0.2500, 0.3342, 0.3394)  4 Er 2.79-2.88, 1 F 3.05
Se (0.2500, 0.3345, 0.0144)  4 Er 2.79-2.83
F (0.7500, 0.6521, 0.3731)  3 Er 2.24-2.30, 3 F 2.35-2.39
F (0.7500, 0.9878, 0.0350)  3 Er 2.23-2.33, 3 F 2.35-2.39
F (0.7500, 0.1521, 0.1269)  3 Er 2.24-2.30, 3 F 2.35-2.39
F (0.7500, 0.4878, 0.4650)  3 Er 2.23-2.33, 3 F 2.35-2.39
Se (0.7500, 0.1655, 0.5144)  4 Er 2.79-2.83
F (0.2500, 0.3479, 0.6269)  3 Er 2.24-2.30, 3 F 2.35-2.39
F (0.2500, 0.0122, 0.9650)  3 Er 2.23-2.33, 3 F 2.35-2.39
Er (0.2500, 0.0749, 0.0808)  6 F 2.23-2.37
F (0.7500, 0.3196, 0.6960)  3 Er 2.22-2.37, 2 F 2.39
Se (0.7500, 0.1658, 0.8394)  4 Er 2.79-2.88, 1 F 3.05
Se (0.2500, 0.8342, 0.1606)  4 Er 2.79-2.88, 1 F 3.05
Se (0.7500, 0.0010, 0.3213)  4 Er 2.80
Er (0.7500, 0.9251, 0.9192)  6 F 2.23-2.37
Er (0.7500, 0.2397, 0.2388)  3 F 2.22-2.24
F (0.2500, 0.5122, 0.5350)  3 Er 2.23-2.33, 3 F 2.35-2.39
F (0.2500, 0.1804, 0.1960)  3 Er 2.22-2.37, 2 F 2.39

- theoretical density (g cm⁻³) = 7.29
- DFT total energy (eV/atom) = -6.45
- formation energy without anion corrections (eV per atom) = -2.88



The following is a PBEsol calculation of a relaxed structure of La2Al, from Alexandria.

abc: 3.5023 3.5023 7.5440
angles: 103.42 103.42 90.00
With the nearest neighbours (Å) after each atom.
Atoms (fractional coordinates):
Al (0.5000, 0.5000, 0.0000)  8 La 3.22, 4 Al 3.50
La (0.1446, 0.1446, 0.2892)  4 Al 3.22, 4 La 3.50
La (0.8554, 0.8554, 0.7108)  4 Al 3.22, 4 La 3.50

- theoretical density (g cm⁻³) = 5.79
- DFT total energy (eV/atom) = -5.11
- E_form (meV per atom) = -183



The following is a PBEsol calculation of a relaxed structure of MgScAl, from Alexandria.

abc: 3.1118 3.1118 7.4511
angles: 90.00 90.00 120.00
With the nearest neighbours (Å) after each atom.
Atoms (fractional coordinates):
Al (0.0000, 0.0000, 0.0031)  3 Sc 2.95, 3 Mg 3.00, 6 Al 3.11
Mg (0.6667, 0.3333, 0.6800)  3 Al 3.00, 6 Mg 3.11, 3 Sc 3.25
Sc (0.3333, 0.6667, 0.3169)  3 Al 2.95, 6 Sc 3.11, 3 Mg 3.25

- theoretical density (g cm⁻³) = 2.56
- DFT total energy (eV/atom) = -4.16
- E_form (meV per atom) = -18



The following is a PBEsol calculation of a relaxed structure of Cu2Si2Ge, from Alexandria.

abc: 3.5623 3.5623 6.2035
angles: 106.69 106.69 90.00
With the nearest neighbours (Å) after each atom.
Atoms (fractional coordinates):
Ge (0.0000, 0.0000, 0.0000)  8 Cu 2.79
Cu (0.6062, 0.6062, 0.2124)  1 Cu 2.41, 4 Si 2.41
Si (0.2500, 0.7500, 0.5000)  4 Cu 2.41, 4 Si 2.52
Si (0.7500, 0.2500, 0.5000)  4 Cu 2.41, 4 Si 2.52
Cu (0.3938, 0.3938, 0.7876)  1 Cu 2.41, 4 Si 2.41

- theoretical density (g cm⁻³) = 5.91
- DFT total energy (eV/atom) = -4.86
- formation energy without anion corrections (eV per atom) = 0.16



The following is a PBEsol calculation of a relaxed structure of FeBi3Br, from Alexandria.

abc: 5.1395 5.1395 5.1395
angles: 90.00 90.00 90.00
With the nearest neighbours (Å) after each atom.
Atoms (fractional coordinates):
Br (0.5000, 0.5000, 0.5000)  12 Bi 3.63
Bi (0.5000, 0.0000, 0.0000)  2 Fe 2.57
Bi (0.0000, 0.0000, 0.5000)  2 Fe 2.57
Bi (0.0000, 0.5000, 0.0000)  2 Fe 2.57
Fe (0.0000, 0.0000, 0.0000)  6 Bi 2.57

- theoretical density (g cm⁻³) = 9.33
- DFT total energy (eV/atom) = -4.46
- formation energy without anion corrections (eV per atom) = 0.27



The following is a PBEsol calculation of a relaxed structure of Sc2HgTeIr, from Alexandria.

abc: 4.9326 5.1087 5.1087
angles: 90.00 90.00 90.00
With the nearest neighbours (Å) after each atom.
Atoms (fractional coordinates):
Hg (0.0000, 0.0000, 0.0000)  2 Ir 2.47, 4 Sc 2.55
Ir (0.5000, 0.0000, 0.0000)  2 Hg 2.47
Sc (0.0000, 0.5000, 0.0000)  2 Hg 2.55
Te (0.5000, 0.5000, 0.5000)  8 Sc 3.55, 4 Ir 3.61
Sc (0.0000, 0.0000, 0.5000)  2 Hg 2.55

- theoretical density (g cm⁻³) = 7.87
- DFT total energy (eV/atom) = -4.87
- formation energy without anion corrections (eV per atom) = 0.55



The following is a PBEsol calculation of a relaxed structure of La3Al11, from Alexandria.

abc: 4.4013 8.5125 8.5125
angles: 72.36 75.02 75.02
With the nearest neighbours (Å) after each atom.
Atoms (fractional coordinates):
Al (0.1368, 0.5888, 0.1377)  6 Al 2.65-2.88
La (0.6838, 0.3162, 0.3162)  12 Al 3.22-3.25
Al (0.8632, 0.8623, 0.4112)  6 Al 2.65-2.88
Al (0.5000, 0.7140, 0.2860)  6 Al 2.65-2.83
Al (0.0000, 0.5000, 0.5000)  8 Al 2.88-3.08
Al (0.6653, 0.7028, 0.9666)  5 Al 2.65-2.74
Al (0.6653, 0.9666, 0.7028)  5 Al 2.65-2.74
La (0.3162, 0.6838, 0.6838)  12 Al 3.22-3.25
La (0.0000, 0.0000, 0.0000)  16 Al 3.28-3.62
Al (0.3347, 0.0334, 0.2972)  5 Al 2.65-2.74
Al (0.3347, 0.2972, 0.0334)  5 Al 2.65-2.74
Al (0.8632, 0.4112, 0.8623)  6 Al 2.65-2.88
Al (0.5000, 0.2860, 0.7140)  6 Al 2.65-2.83
Al (0.1368, 0.1377, 0.5888)  6 Al 2.65-2.88

- theoretical density (g cm⁻³) = 4.12
- DFT total energy (eV/atom) = -4.75
- E_form (meV per atom) = -387



The following is a PBEsol calculation of a relaxed structure of Er2Ti12Cu9O36, from Alexandria.

abc: 6.3724 10.3787 10.3787
angles: 120.00 90.00 90.00
With the nearest neighbours (Å) after each atom.
Atoms (fractional coordinates):
Ti (0.8404, 0.3333, 0.6667)  6 O 1.92-1.98
O (0.0917, 0.7747, 0.0455)  2 Ti 1.91-1.92, 1 Cu 1.93
Ti (0.1622, 0.6803, 0.8384)  6 O 1.88-2.05
Cu (0.6597, 0.1686, 0.3375)  4 O 1.93-1.94
Cu (0.3403, 0.8314, 0.6625)  4 O 1.93-1.94
Ti (0.5000, 0.5000, 0.5000)  6 O 1.95-1.96
Cu (0.0000, 0.5000, 0.0000)  4 O 1.95
O (0.0917, 0.2708, 0.2253)  2 Ti 1.91-1.92, 1 Cu 1.93
O (0.2493, 0.0762, 0.4511)  1 Cu 1.95, 2 Ti 1.96-2.01
Er (0.3293, 0.3333, 0.6667)  12 O 2.51-2.53
O (0.5879, 0.4130, 0.1203)  1 Cu 1.94, 2 Ti 1.95-2.02
Ti (0.1596, 0.6667, 0.3333)  6 O 1.92-1.98
O (0.3558, 0.5273, 0.3498)  1 Cu 1.93, 2 Ti 1.95-1.98
O (0.6442, 0.1775, 0.5273)  1 Cu 1.93, 2 Ti 1.95-1.98
Ti (0.1622, 0.1581, 0.3197)  6 O 1.88-2.05
Cu (0.6597, 0.1689, 0.8314)  4 O 1.93-1.94
O (0.6691, 0.1652, 0.1499)  2 Ti 1.88-1.96, 1 Cu 1.93
O (0.9083, 0.0455, 0.2708)  2 Ti 1.91-1.92, 1 Cu 1.93
Er (0.6707, 0.6667, 0.3333)  12 O 2.51-2.53
Cu (0.6597, 0.6625, 0.8311)  4 O 1.93-1.94
Ti (0.8378, 0.8419, 0.6803)  6 O 1.88-2.05
O (0.7507, 0.4511, 0.3749)  1 Cu 1.95, 2 Ti 1.96-2.01
Ti (0.8378, 0.3197, 0.1616)  6 O 1.88-2.05
Ti (0.5000, 0.0000, 0.0000)  6 O 1.96
Cu (0.0000, 0.5000, 0.5000)  4 O 1.95
O (0.4121, 0.2927, 0.4130)  1 Cu 1.94, 2 Ti 1.95-2.02
Ti (0.5000, 0.5000, 0.0000)  6 O 1.95-1.96
O (0.0185, 0.4901, 0.8077)  2 Ti 1.92-2.05, 1 Cu 1.95
O (0.3309, 0.0153, 0.1652)  2 Ti 1.88-1.96, 1 Cu 1.93
O (0.2493, 0.3749, 0.9238)  1 Cu 1.95, 2 Ti 1.96-2.01
O (0.6691, 0.8501, 0.0153)  2 Ti 1.88-1.96, 1 Cu 1.93
O (0.6442, 0.4727, 0.6502)  1 Cu 1.93, 2 Ti 1.95-1.98
O (0.9815, 0.8077, 0.3176)  2 Ti 1.92-2.05, 1 Cu 1.95
O (0.0917, 0.9545, 0.7292)  2 Ti 1.91-1.92, 1 Cu 1.93
O (0.5879, 0.7073, 0.5870)  1 Cu 1.94, 2 Ti 1.95-2.02
Cu (0.0000, 0.0000, 0.5000)  4 O 1.95
O (0.4121, 0.1203, 0.7073)  1 Cu 1.94, 2 Ti 1.95-2.02
O (0.6691, 0.9847, 0.8348)  2 Ti 1.88-1.96, 1 Cu 1.93
O (0.9815, 0.6824, 0.4901)  2 Ti 1.92-2.05, 1 Cu 1.95
O (0.3309, 0.1499, 0.9847)  2 Ti 1.88-1.96, 1 Cu 1.93
O (0.9083, 0.7292, 0.7747)  2 Ti 1.91-1.92, 1 Cu 1.93
Ti (0.5000, 0.0000, 0.5000)  6 O 1.95-1.96
O (0.3558, 0.8225, 0.4727)  1 Cu 1.93, 2 Ti 1.95-1.98
Ti (0.1622, 0.1616, 0.8419)  6 O 1.88-2.05
O (0.9083, 0.2253, 0.9545)  2 Ti 1.91-1.92, 1 Cu 1.93
O (0.3309, 0.8348, 0.8501)  2 Ti 1.88-1.96, 1 Cu 1.93
O (0.4121, 0.5870, 0.8797)  1 Cu 1.94, 2 Ti 1.95-2.02
Cu (0.3403, 0.8311, 0.1686)  4 O 1.93-1.94
O (0.5879, 0.8797, 0.2927)  1 Cu 1.94, 2 Ti 1.95-2.02
O (0.7507, 0.6251, 0.0762)  1 Cu 1.95, 2 Ti 1.96-2.01
O (0.9815, 0.5099, 0.1923)  2 Ti 1.92-2.05, 1 Cu 1.95
O (0.3558, 0.6502, 0.1775)  1 Cu 1.93, 2 Ti 1.95-1.98
Ti (0.8378, 0.8384, 0.1581)  6 O 1.88-2.05
O (0.7507, 0.9238, 0.5489)  1 Cu 1.95, 2 Ti 1.96-2.01
Cu (0.3403, 0.3375, 0.1689)  4 O 1.93-1.94
O (0.0185, 0.3176, 0.5099)  2 Ti 1.92-2.05, 1 Cu 1.95
O (0.2493, 0.5489, 0.6251)  1 Cu 1.95, 2 Ti 1.96-2.01
O (0.6442, 0.3498, 0.8225)  1 Cu 1.93, 2 Ti 1.95-1.98
O (0.0185, 0.1923, 0.6824)  2 Ti 1.92-2.05, 1 Cu 1.95

- theoretical density (g cm⁻³) = 5.75
- DFT total energy (eV/atom) = -8.05
- formation energy without anion corrections (eV per atom) = -2.33